## PuAg3Cl6F2 (GGA-PBE)

Data for a geometry-optimized PuAg3Cl6F2 structure.

The structure belongs to space group C2/m (No. 12); the cell edges are 12.9727, 7.4285 and 6.3415 Å and the angles 90.00°, 109.08° and 90.00°. The asymmetric unit holds Pu at (0.0000, 0.0000, 0.0000), Ag at (0.0000, 0.5000, 0.5000), Ag at (0.2500, 0.2500, 0.0000), Cl at (0.1112, 0.2494, 0.2568), Cl at (0.1261, 0.0000, 0.7494) and F at (0.1464, 0.5000, 0.7806).

For the uncorrected formation energy, the calculation gives -1289 kJ/mol of formula units. For the calculated volume, the calculation gives 24.06 Å³/atom.

## PuAg2Cl4F2 (GGA-PBE)

Data for a geometry-optimized PuAg2Cl4F2 structure.

The structure belongs to space group Immm (No. 71); the cell edges are 3.8973, 7.8924 and 13.8894 Å and the angles 90.00°, 90.00° and 90.00°. The asymmetric unit holds Pu at (0.0000, 0.0000, 0.0000), Ag at (0.0000, 0.0000, 0.3786), Cl at (0.0000, 0.2804, 0.1245) and F at (0.0000, 0.5000, 0.4123).

For the uncorrected formation energy, the calculation gives -1351 kJ/mol of formula units. For the calculated volume, the calculation gives 23.73 Å³/atom.

## Rb3Ag2Cl2F3 (GGA-PBE)

Data for a geometry-optimized Rb3Ag2Cl2F3 structure.

The structure belongs to space group I4/mmm (No. 139); the cell edges are 4.8876, 4.8876 and 23.6283 Å and the angles 90.00°, 90.00° and 90.00°. The asymmetric unit holds Rb at (0.0000, 0.0000, 0.0000), Rb at (0.0000, 0.0000, 0.3815), Ag at (0.0000, 0.0000, 0.2058), Cl at (0.0000, 0.5000, 0.2500), F at (0.0000, 0.0000, 0.1094) and F at (0.0000, 0.0000, 0.5000).

For the uncorrected formation energy, the calculation gives -1603 kJ/mol of formula units. For the calculated volume, the calculation gives 28.22 Å³/atom.

## RbAgClF2 (GGA-PBE)

Data for a geometry-optimized RbAgClF2 structure.

The structure belongs to space group P4/mmm (No. 123); the cell edges are 4.5665, 4.5665 and 4.9583 Å and the angles 90.00°, 90.00° and 90.00°. The asymmetric unit holds Rb at (0.0000, 0.0000, 0.0000), Ag at (0.5000, 0.5000, 0.5000), Cl at (0.5000, 0.5000, 0.0000) and F at (0.0000, 0.5000, 0.5000).

For the uncorrected formation energy, the calculation gives -749 kJ/mol of formula units. For the calculated volume, the calculation gives 20.68 Å³/atom.

## Rb3Ag2Cl2F4 (GGA-PBE)

Data for a geometry-optimized Rb3Ag2Cl2F4 structure.

The structure belongs to space group I4/mmm (No. 139); the cell edges are 4.5405, 4.5405 and 24.8262 Å and the angles 90.00°, 90.00° and 90.00°. The asymmetric unit holds Rb at (0.0000, 0.0000, 0.0000), Rb at (0.0000, 0.0000, 0.1708), Ag at (0.0000, 0.0000, 0.4152), Cl at (0.0000, 0.0000, 0.3079) and F at (0.0000, 0.5000, 0.0739).

For the uncorrected formation energy, the calculation gives -1854 kJ/mol of formula units. For the calculated volume, the calculation gives 23.26 Å³/atom.

## Rb2AgClF6 (GGA-PBE)

Data for a geometry-optimized Rb2AgClF6 structure.

The structure belongs to space group I4/mmm (No. 139); the cell edges are 6.0892, 6.0892 and 10.2365 Å and the angles 90.00°, 90.00° and 90.00°. The asymmetric unit holds Rb at (0.0000, 0.5000, 0.2500), Ag at (0.0000, 0.0000, 0.0000), Cl at (0.0000, 0.0000, 0.5000), F at (0.0000, 0.0000, 0.2072) and F at (0.2252, 0.2252, 0.5000).

For the uncorrected formation energy, the calculation gives -1554 kJ/mol of formula units. For the calculated volume, the calculation gives 18.98 Å³/atom.

## Rb3Ag2Cl4F2 (GGA-PBE)

Data for a geometry-optimized Rb3Ag2Cl4F2 structure.

The structure belongs to space group I4/mmm (No. 139); the cell edges are 5.0298, 5.0298 and 24.8425 Å and the angles 90.00°, 90.00° and 90.00°. The asymmetric unit holds Rb at (0.0000, 0.0000, 0.0000), Rb at (0.0000, 0.0000, 0.1925), Ag at (0.0000, 0.0000, 0.3919), Cl at (0.0000, 0.5000, 0.0909) and F at (0.0000, 0.0000, 0.2980).

For the uncorrected formation energy, the calculation gives -1590 kJ/mol of formula units. For the calculated volume, the calculation gives 28.57 Å³/atom.

## RbAg2Cl2F (GGA-PBE)

Data for a geometry-optimized RbAg2Cl2F structure.

The structure belongs to space group P2_1/m (No. 11); the cell edges are 8.0869, 5.7629 and 8.0962 Å and the angles 90.00°, 110.37° and 90.00°. The asymmetric unit holds Rb at (0.2160, 0.2500, 0.2854), Ag at (0.3047, 0.0000, 0.8065), Cl at (0.0679, 0.2500, 0.8521), Cl at (0.3503, 0.7500, 0.5695) and F at (0.4343, 0.7500, 0.0666).

For the uncorrected formation energy, the calculation gives -640 kJ/mol of formula units. For the calculated volume, the calculation gives 29.48 Å³/atom.

## RbAgCl2F8 (GGA-PBE)

Data for a geometry-optimized RbAgCl2F8 structure.

The structure belongs to space group P-3 (No. 147); the cell edges are 6.5644, 6.5644 and 7.2117 Å and the angles 90.00°, 90.00° and 120.00°. The asymmetric unit holds Rb at (0.0000, 0.0000, 0.0000), Ag at (0.0000, 0.0000, 0.5000), Cl at (0.3333, 0.6667, 0.8693), F at (0.1289, 0.2767, 0.6657) and F at (0.3333, 0.6667, 0.0987).

For the uncorrected formation energy, the calculation gives -1116 kJ/mol of formula units. For the calculated volume, the calculation gives 22.43 Å³/atom.

## Rb2AgCl2F4 (GGA-PBE)

Data for a geometry-optimized Rb2AgCl2F4 structure.

The structure belongs to space group I4/mmm (No. 139); the cell edges are 7.0959, 7.0959 and 7.6324 Å and the angles 90.00°, 90.00° and 90.00°. The asymmetric unit holds Rb at (0.0000, 0.5000, 0.2500), Ag at (0.0000, 0.0000, 0.0000), Cl at (0.0000, 0.0000, 0.3647) and F at (0.2082, 0.2082, 0.0000).

For the uncorrected formation energy, the calculation gives -1353 kJ/mol of formula units. For the calculated volume, the calculation gives 21.35 Å³/atom.

## ReAg3Cl6F2 (GGA-PBE)

Data for a geometry-optimized ReAg3Cl6F2 structure.

The structure belongs to space group C2/m (No. 12); the cell edges are 14.2219, 7.1141 and 6.0864 Å and the angles 90.00°, 113.00° and 90.00°. The asymmetric unit holds Re at (0.0000, 0.0000, 0.0000), Ag at (0.0000, 0.5000, 0.5000), Ag at (0.2500, 0.2500, 0.0000), Cl at (0.1026, 0.0000, 0.7761), Cl at (0.1031, 0.2339, 0.2496) and F at (0.1544, 0.5000, 0.7926).

For the uncorrected formation energy, the calculation gives -799 kJ/mol of formula units. For the calculated volume, the calculation gives 23.62 Å³/atom.

## ReAg2Cl2F4 (GGA-PBE)

Data for a geometry-optimized ReAg2Cl2F4 structure.

The structure belongs to space group C2/m (No. 12); the cell edges are 11.6337, 5.7810 and 5.0321 Å and the angles 90.00°, 105.60° and 90.00°. The asymmetric unit holds Re at (0.0000, 0.0000, 0.0000), Ag at (0.1395, 0.5000, 0.6960), Cl at (0.1798, 0.0000, 0.8615) and F at (0.0618, 0.2506, 0.2700).

For the uncorrected formation energy, the calculation gives -1054 kJ/mol of formula units. For the calculated volume, the calculation gives 18.11 Å³/atom.

Question: Which of these has the lowest calculated volume?
Answer: ReAg2Cl2F4